VASP calculation (PBE-GGA) on an optimized crystal structure of CdSbSe.

Values from the calculation:
distance to the lowest polymorph of the same formula = 0.1791 eV/atom
formation energy from raw total energies = -0.1766 eV per atom
raw total energy = -3.017 eV per atom
D(E_F) = 0.81 states/eV/cell
magnetic moment = 0.000 μB/atom

a = 4.682 Å, b = 6.200 Å, c = 6.554 Å
α = 78.59°, β = 80.44°, γ = 74.15°
Space group P-1 (No. 2)
Inequivalent atoms, fractional coordinates:
1 Cd 0.105 0.249 0.339
2 Sb 0.218 0.650 0.076
3 Se 0.391 0.801 0.383